[1]
DFT (PBE-GGA) results for CuAg7F12 after structural relaxation. Values from VASP.

Results
Space group: R-3
Total moment: 3.2 Bohr magnetons per cell
Final energy: -3.417 eV/atom
DOS(E_F): 0.57 states/eV/atom

Geometry as Quantum ESPRESSO input:
```
&SYSTEM
  ibrav = 0, nat = 20, ntyp = 3
/
ATOMIC_SPECIES
F 19.00 F.upf
Ag 107.87 Ag.upf
Cu 63.55 Cu.upf
CELL_PARAMETERS angstrom
6.1893 0.0000 2.1686
-3.2760 6.3534 2.7390
-0.3628 0.0000 7.6465
ATOMIC_POSITIONS crystal
F 0.1379 0.0630 0.1798
F 0.7770 0.1722 0.4433
F 0.6823 0.8202 0.2428
F 0.9251 0.2428 0.9370
F 0.3177 0.1798 0.7572
F 0.2203 0.4433 0.3845
F 0.0749 0.7572 0.0630
F 0.6048 0.3845 0.1722
F 0.2230 0.8278 0.5567
F 0.3952 0.6155 0.8278
F 0.8621 0.9370 0.8202
F 0.7797 0.5567 0.6155
Ag 0.7642 0.8640 0.5369
Ag 0.5000 0.0000 0.0000
Ag 0.2358 0.1360 0.4631
Ag 0.9002 0.5991 0.8640
Ag 0.3011 0.5369 0.5991
Ag 0.6989 0.4631 0.4009
Ag 0.0998 0.4009 0.1360
Cu 0.0000 0.0000 0.0000
```

=====

[2]
DFT (PBE-GGA) results for PrNd4Sm after structural relaxation. Values from VASP.

Results
Space group: Cmmm
Total moment: 0.0 Bohr magnetons per cell
ΔE to the lowest computed polymorph: 0.000 eV/f.u.
E_form: 0.014 eV/atom
DOS(E_F): 1.56 states/eV/atom

Geometry as Quantum ESPRESSO input:
```
&SYSTEM
  ibrav = 0, nat = 6, ntyp = 3
/
ATOMIC_SPECIES
Nd 144.24 Nd.upf
Pr 140.91 Pr.upf
Sm 150.36 Sm.upf
CELL_PARAMETERS angstrom
-4.1097 -2.9400 -6.4958
-5.7601 -5.4411 -2.2237
-3.6763 3.6069 0.6919
ATOMIC_POSITIONS crystal
Nd 0.8336 0.8336 0.4999
Nd 0.1664 0.1664 0.5001
Nd 0.6667 0.6667 0.9999
Nd 0.3333 0.3333 0.0001
Pr 0.5000 0.5000 0.5000
Sm 0.0000 0.0000 0.0000
```

=====

[3]
DFT (PBE-GGA) results for BeSi2BiRh after structural relaxation. Values from VASP.

Results
Space group: P4/mmm
Total moment: 0.0 Bohr magnetons per cell
ΔE to the lowest computed polymorph: 0.000 eV/f.u.
DOS(E_F): 0.38 states/eV/atom

Geometry as Quantum ESPRESSO input:
```
&SYSTEM
  ibrav = 0, nat = 5, ntyp = 4
/
ATOMIC_SPECIES
Rh 102.91 Rh.upf
Si 28.09 Si.upf
Bi 208.98 Bi.upf
Be 9.01 Be.upf
CELL_PARAMETERS angstrom
-4.1980 -0.4197 2.0706
1.2814 -3.7415 1.8396
1.5991 2.3789 3.7243
ATOMIC_POSITIONS crystal
Rh 0.0000 0.0000 0.0000
Si 0.0000 0.0000 0.5000
Si 0.5000 0.0000 0.0000
Bi 0.5000 0.5000 0.5000
Be 0.0000 0.5000 0.0000
```

=====

[4]
DFT (PBE-GGA) results for K2MgTlCl5 after structural relaxation. Values from VASP.

Results
Space group: Immm
Total moment: 0.0 Bohr magnetons per cell
Final energy: -3.412 eV/atom
DOS(E_F): 0.00 states/eV/atom

Geometry as Quantum ESPRESSO input:
```
&SYSTEM
  ibrav = 0, nat = 9, ntyp = 4
/
ATOMIC_SPECIES
K 39.10 K.upf
Mg 24.30 Mg.upf
Tl 204.38 Tl.upf
Cl 35.45 Cl.upf
CELL_PARAMETERS angstrom
4.9228 0.0000 0.0000
0.0000 7.3098 0.0000
-2.4614 -3.6549 7.4135
ATOMIC_POSITIONS crystal
K 0.2086 0.2086 0.4171
K 0.7914 0.7914 0.5829
Mg 0.5000 0.0000 0.0000
Tl 0.0000 0.5000 0.0000
Cl 0.3772 0.6342 0.7543
Cl 0.6228 0.8799 0.2457
Cl 0.3772 0.1201 0.7543
Cl 0.6228 0.3658 0.2457
Cl 0.0000 0.0000 0.0000
```

=====

[5]
DFT (PBE-GGA) results for LiLaAl2Cu after structural relaxation. Values from VASP.

Results
Space group: P4/mmm
Total moment: 0.0 Bohr magnetons per cell
E_form: -0.185 eV/atom
DOS(E_F): 0.67 states/eV/atom

Geometry as Quantum ESPRESSO input:
```
&SYSTEM
  ibrav = 0, nat = 5, ntyp = 4
/
ATOMIC_SPECIES
Al 26.98 Al.upf
Cu 63.55 Cu.upf
Li 6.94 Li.upf
La 138.91 La.upf
CELL_PARAMETERS angstrom
-3.2584 -3.2581 -0.7333
0.9320 0.0966 -4.5708
3.2548 -3.3883 0.5921
ATOMIC_POSITIONS crystal
Al 0.5000 0.0000 0.0000
Al 0.0000 0.5000 0.0000
Cu 0.0000 0.0000 0.0000
Li 0.0000 0.0000 0.5000
La 0.5000 0.5000 0.5000
```

=====

[6]
DFT (PBE-GGA) results for H2PdRu2 after structural relaxation. Values from VASP.

Results
Space group: I4/mmm
Total moment: 0.0 Bohr magnetons per cell
ΔE to the lowest computed polymorph: 0.245 eV/f.u.
DOS(E_F): 0.81 states/eV/atom

Geometry as Quantum ESPRESSO input:
```
&SYSTEM
  ibrav = 0, nat = 5, ntyp = 3
/
ATOMIC_SPECIES
Pd 106.42 Pd.upf
H 1.01 H.upf
Ru 101.07 Ru.upf
CELL_PARAMETERS angstrom
3.7757 0.0000 0.0000
0.0000 3.7757 0.0000
1.8878 1.8878 3.8280
ATOMIC_POSITIONS crystal
Pd 0.0000 0.0000 0.0000
H 0.6903 0.6903 0.6194
H 0.3097 0.3097 0.3806
Ru 0.2500 0.7500 0.5000
Ru 0.7500 0.2500 0.5000
```